Here is a relaxed structure of CuAsBr4 from Alexandria. Energies are from GGA-PBE.

Cell: 6.721 6.901 10.193 Å, 86.84 71.06 79.88°
Space group P-1 (No. 2)
Asymmetric unit:
1 Cu 0.126 0.250 0.242 (multiplicity 2)
2 As 0.448 0.750 0.607 (multiplicity 2)
3 Br 0.107 0.928 0.799 (multiplicity 2)
4 Br 0.222 0.470 0.602 (multiplicity 2)
5 Br 0.323 0.970 0.398 (multiplicity 2)
6 Br 0.401 0.427 0.202 (multiplicity 2)

=====

Here is a relaxed structure of CuAsBr2 from Alexandria. Energies are from GGA-PBE.

Cell: 3.454 7.382 8.248 Å, 90.00 90.00 90.00°
Space group Immm (No. 71)
Asymmetric unit:
1 Cu 0.000 0.000 0.000 (multiplicity 2)
2 As 0.000 0.000 0.500 (multiplicity 2)
3 Br 0.000 0.500 0.286 (multiplicity 4)

=====

Here is a relaxed structure of CuAs2Br8 from Alexandria. Energies are from GGA-PBE.

Cell: 11.830 8.818 8.621 Å, 90.00 96.03 90.00°
Space group C2/m (No. 12)
Asymmetric unit:
1 Cu 0.000 0.000 0.000 (multiplicity 2)
2 As 0.141 0.000 0.369 (multiplicity 4)
3 Br 0.115 0.199 0.138 (multiplicity 8)
4 Br 0.124 0.000 0.666 (multiplicity 4)
5 Br 0.156 0.500 0.599 (multiplicity 4)

=====

Here is a relaxed structure of Cu2AsBr6 from Alexandria. Energies are from GGA-PBE.

Cell: 15.884 3.833 9.688 Å, 90.00 103.01 90.00°
Space group C2/m (No. 12)
Asymmetric unit:
1 Cu 0.198 0.000 0.376 (multiplicity 4)
2 As 0.000 0.000 0.000 (multiplicity 2)
3 Br 0.046 0.000 0.286 (multiplicity 4)
4 Br 0.116 0.500 0.983 (multiplicity 4)
5 Br 0.212 0.000 0.647 (multiplicity 4)

=====

Here is a relaxed structure of Cu3AsBr9 from Alexandria. Energies are from GGA-PBE.

Cell: 19.250 8.154 13.558 Å, 90.00 127.53 90.00°
Space group Cc (No. 9)
Asymmetric unit:
1 Cu 0.000 0.044 0.000 (multiplicity 4)
2 Cu 0.122 0.417 0.941 (multiplicity 4)
3 Cu 0.399 0.132 0.606 (multiplicity 4)
4 As 0.257 0.219 0.760 (multiplicity 4)
5 Br 0.047 0.374 0.284 (multiplicity 4)
6 Br 0.060 0.149 0.903 (multiplicity 4)
7 Br 0.128 0.437 0.599 (multiplicity 4)
8 Br 0.138 0.002 0.205 (multiplicity 4)
9 Br 0.241 0.347 0.941 (multiplicity 4)
10 Br 0.270 0.094 0.595 (multiplicity 4)
11 Br 0.373 0.456 0.802 (multiplicity 4)
12 Br 0.384 0.040 0.943 (multiplicity 4)
13 Br 0.420 0.413 0.580 (multiplicity 4)

=====

Here is a relaxed structure of CuAsBr from Alexandria. Energies are from GGA-PBE.

Cell: 3.369 3.736 10.896 Å, 90.00 90.00 90.00°
Space group Imm2 (No. 44)
Asymmetric unit:
1 Cu 0.000 0.000 0.000 (multiplicity 2)
2 As 0.000 0.000 0.470 (multiplicity 2)
3 Br 0.000 0.000 0.245 (multiplicity 2)

=====

Here is a relaxed structure of Cu2AsBr from Alexandria. Energies are from GGA-PBE.

Cell: 3.399 6.186 7.449 Å, 90.00 90.00 90.00°
Space group Cmmm (No. 65)
Asymmetric unit:
1 Cu 0.000 0.000 0.234 (multiplicity 4)
2 As 0.000 0.500 0.000 (multiplicity 2)
3 Br 0.000 0.500 0.500 (multiplicity 2)

=====

Here is a relaxed structure of CuAsBr2 from Alexandria. Energies are from GGA-PBE.

Cell: 3.517 5.263 13.412 Å, 90.00 90.00 90.00°
Space group Imm2 (No. 44)
Asymmetric unit:
1 Cu 0.000 0.000 0.000 (multiplicity 2)
2 As 0.000 0.500 0.376 (multiplicity 2)
3 Br 0.000 0.000 0.410 (multiplicity 2)
4 Br 0.000 0.500 0.622 (multiplicity 2)

=====

Computed values of DFT total energy (unit: Ha/atom) for the preceding records, in sequence: -0.10693; -0.10014; -0.10028; -0.10553; -0.09936; -0.12536; -0.12574; -0.11480.
Computed values of energy relative to the elements, uncorrected (unit: meV/atom) for the preceding records, in sequence: -337; 298; -294; -330; -243; 62; 207; -101.